(1)
# LaBiSe2Br | the Alexandria database | PBE-GGA | optimized geometry
# Distance to the lowest polymorph of the same formula (meV per atom): 0
# Formation energy from raw total energies (meV/atom): -585
# Magnetization (μB/f.u.): 1.02
data_LaBiSe2Br
_symmetry_space_group_name_H-M 'P 4/m m m'
_symmetry_Int_Tables_number 123
_symmetry_space_group_name_Hall '-P 4 2'
_cell_length_a 5.814
_cell_length_b 5.814
_cell_length_c 5.625
_cell_angle_alpha 90.00
_cell_angle_beta 90.00
_cell_angle_gamma 90.00
loop_
_atom_site_label
_atom_site_type_symbol
_atom_site_fract_x
_atom_site_fract_y
_atom_site_fract_z
_atom_site_occupancy
La1 La 0.000 0.000 0.000 1
Bi1 Bi 0.500 0.500 0.500 1
Se1 Se 0.000 0.500 0.000 1
Br1 Br 0.000 0.000 0.500 1


(2)
# LaBiSe2Br | the Alexandria database | PBE-GGA | optimized geometry
# Distance to the lowest polymorph of the same formula (meV per atom): 124
# Formation energy from raw total energies (meV/atom): -460
# Magnetization (μB/f.u.): 0.53
data_LaBiSe2Br
_symmetry_space_group_name_H-M 'P 4/m m m'
_symmetry_Int_Tables_number 123
_symmetry_space_group_name_Hall '-P 4 2'
_cell_length_a 5.602
_cell_length_b 5.602
_cell_length_c 5.512
_cell_angle_alpha 90.00
_cell_angle_beta 90.00
_cell_angle_gamma 90.00
loop_
_atom_site_label
_atom_site_type_symbol
_atom_site_fract_x
_atom_site_fract_y
_atom_site_fract_z
_atom_site_occupancy
La1 La 0.000 0.000 0.000 1
Bi1 Bi 0.500 0.500 0.500 1
Se1 Se 0.000 0.500 0.500 1
Br1 Br 0.500 0.500 0.000 1


(3)
# LaSmBiBr | the Alexandria database | PBE-GGA | optimized geometry
# Formation energy from raw total energies (meV/atom): -1017
# Magnetization (μB/f.u.): 0.23
data_LaSmBiBr
_symmetry_space_group_name_H-M 'F -4 3 m'
_symmetry_Int_Tables_number 216
_symmetry_space_group_name_Hall 'F -4 2 3'
_cell_length_a 7.770
_cell_length_b 7.770
_cell_length_c 7.770
_cell_angle_alpha 90.00
_cell_angle_beta 90.00
_cell_angle_gamma 90.00
loop_
_atom_site_label
_atom_site_type_symbol
_atom_site_fract_x
_atom_site_fract_y
_atom_site_fract_z
_atom_site_occupancy
La1 La 0.000 0.000 0.000 1
Sm1 Sm 0.000 0.000 0.500 1
Bi1 Bi 0.250 0.250 0.250 1
Br1 Br 0.250 0.250 0.750 1


(4)
# LiBiBr6 | the Alexandria database | PBE-GGA | optimized geometry
# Formation energy from raw total energies (meV/atom): -547
# Magnetization (μB/f.u.): 0.17
data_LiBiBr6
_symmetry_space_group_name_H-M 'P -1'
_symmetry_Int_Tables_number 2
_cell_length_a 6.277
_cell_length_b 6.933
_cell_length_c 7.456
_cell_angle_alpha 65.35
_cell_angle_beta 89.46
_cell_angle_gamma 66.28
loop_
_symmetry_equiv_pos_as_xyz
'x,y,z'
'-x,-y,-z'
loop_
_atom_site_label
_atom_site_type_symbol
_atom_site_fract_x
_atom_site_fract_y
_atom_site_fract_z
_atom_site_occupancy
Li1 Li 0.000 0.000 0.000 1
Bi1 Bi 0.500 0.000 0.500 1
Br1 Br 0.208 0.843 0.756 1
Br2 Br 0.255 0.170 0.102 1
Br3 Br 0.259 0.473 0.484 1